Material: Ac2PmPr
Method: DFT, PBE
State: optimized geometry

Cell: 3.873 3.873 10.611 Å, 90.00 90.00 90.00°
Atoms (fractional coordinates):
Ac 0.000 0.000 0.248
Ac 0.000 0.000 0.752
Pm 0.500 0.500 0.000
Pr 0.500 0.500 0.500

Energy above the most stable polymorph in this dataset ... 0.004 eV/atom
Raw total energy ... -17.64 eV/cell
Magnetization ... 0.00 μB/atom
ΔH_f (0 K) ... 0.027 eV/atom

Material: TlOsBr2
Method: DFT, PBE
State: optimized geometry

Cell: 8.556 8.556 8.556 Å, 25.15 25.15 25.15°
Atoms (fractional coordinates):
Tl 0.000 0.000 0.000
Os 0.255 0.255 0.255
Br 0.540 0.540 0.540
Br 0.750 0.750 0.750

Energy above the most stable polymorph in this dataset ... 0.206 eV/atom
Raw total energy ... -15.01 eV/cell
Magnetization ... 0.00 μB/atom
Uncorrected formation energy ... 0.484 eV per atom

Material: CrOs2W
Method: DFT, PBE
State: optimized geometry

Cell: 5.269 5.269 5.269 Å, 148.67 130.45 59.80°
Atoms (fractional coordinates):
Cr 0.000 0.000 0.000
Os 0.223 0.723 0.500
Os 0.777 0.277 0.500
W 0.500 0.500 0.000

Energy above the most stable polymorph in this dataset ... 0.163 eV/atom
Raw total energy ... -44.02 eV/cell
Magnetization ... 0.00 μB/atom
ΔH_f (0 K) ... 0.254 eV/atom

Material: BiOs3Rh
Method: DFT, PBE
State: optimized geometry

Cell: 4.728 4.728 4.728 Å, 90.00 90.00 90.00°
Atoms (fractional coordinates):
Bi 0.000 0.000 0.000
Os 0.000 0.500 0.500
Os 0.500 0.000 0.500
Os 0.500 0.500 0.000
Rh 0.500 0.500 0.500

Energy above the most stable polymorph in this dataset ... 0.000 eV/atom
Raw total energy ... -34.21 eV/cell
Magnetization ... 0.00 μB/atom
ΔH_f (0 K) ... 2.142 eV/atom

Material: CeCo3Sb5
Method: DFT, PBE
State: optimized geometry

Cell: 7.003 7.003 9.221 Å, 107.03 107.03 72.80°
Atoms (fractional coordinates):
Ce 0.107 0.107 0.308
Ce 0.893 0.893 0.692
Co 0.000 0.000 0.000
Co 0.000 0.000 0.500
Co 0.323 0.323 0.340
Co 0.332 0.332 0.842
Co 0.668 0.668 0.158
Co 0.677 0.677 0.660
Sb 0.052 0.647 0.312
Sb 0.234 0.234 0.039
Sb 0.299 0.701 0.000
Sb 0.353 0.948 0.688
Sb 0.423 0.423 0.632
Sb 0.577 0.577 0.368
Sb 0.647 0.052 0.312
Sb 0.701 0.299 0.000
Sb 0.766 0.766 0.961
Sb 0.948 0.353 0.688

Raw total energy ... -98.84 eV/cell
Magnetization ... 0.00 μB/atom
Uncorrected formation energy ... -0.173 eV per atom

Material: PaCdHgSb
Method: DFT, PBE
State: optimized geometry

Cell: 5.211 5.211 5.211 Å, 60.00 60.00 60.00°
Atoms (fractional coordinates):
Pa 0.000 0.000 0.000
Cd 0.500 0.500 0.500
Hg 0.250 0.250 0.250
Sb 0.750 0.750 0.750

Raw total energy ... -14.95 eV/cell
Magnetization ... 0.27 μB/atom
Uncorrected formation energy ... -0.030 eV per atom